*one*
Material: TlCuTc2
Method: DFT, GGA-PBE
State: relaxed

a b c (Å): 2.8288 2.8288 9.3151
angles (deg): 90.00 90.00 115.61
Fractional positions:
Tc1 0.0000 0.0000 0.0017
Tc2 0.5000 0.5000 0.2233
Tl1 0.0000 0.0000 0.5047
Cu1 0.5000 0.5000 0.7704


*two*
Material: TlCuTc2
Method: DFT, GGA-PBE
State: relaxed

a b c (Å): 4.9123 4.9123 4.6665
angles (deg): 78.18 78.18 36.37
Fractional positions:
Cu1 0.2500 0.2500 0.2500
Tl1 0.7500 0.7500 0.7500
Tc1 0.5071 0.5071 0.4568
Tc2 0.9929 0.9929 0.0432


Most stable structure - *two*; separation to the second - 25 meV per atom.


*one*
Material: TlCuTc2
Method: DFT, GGA-PBE
State: relaxed

a b c (Å): 3.2372 3.2372 6.2601
angles (deg): 90.00 90.00 90.00
Fractional positions:
Tc1 0.0000 0.0000 0.5581
Tc2 0.0000 0.0000 0.9419
Tl1 0.5000 0.5000 0.2500
Cu1 0.5000 0.5000 0.7500


*two*
Material: TlCuTc2
Method: DFT, GGA-PBE
State: relaxed

a b c (Å): 4.8004 3.0429 4.6693
angles (deg): 92.99 90.00 90.00
Fractional positions:
Tc1 0.0000 0.0502 0.9576
Tc2 0.0000 0.4498 0.5424
Tl1 0.5000 0.2500 0.2500
Cu1 0.5000 0.7500 0.7500


*three*
Material: TlCuTc2
Method: DFT, GGA-PBE
State: relaxed

a b c (Å): 4.7543 4.7543 4.7543
angles (deg): 129.00 129.00 75.02
Fractional positions:
Cu1 0.7500 0.2500 0.5000
Tc1 0.2500 0.7500 0.5000
Tc2 0.0000 0.0000 0.0000
Tl1 0.5000 0.5000 0.0000


*four*
Material: TlCuTc2
Method: DFT, GGA-PBE
State: relaxed

a b c (Å): 5.3467 5.3467 5.3467
angles (deg): 145.41 132.10 60.42
Fractional positions:
Tc1 0.4909 0.4909 0.0000
Tc2 0.0091 0.0091 0.0000
Tl1 0.7500 0.2500 0.5000
Cu1 0.2500 0.7500 0.5000


Most stable structure - *three*; separation to the second - 50 meV per atom.


*one*
Material: Tl2CuTc
Method: DFT, GGA-PBE
State: relaxed

a b c (Å): 4.6287 4.6281 3.4699
angles (deg): 90.00 90.00 90.00
Fractional positions:
Tl1 0.0000 0.0000 0.0000
Tl2 0.5000 0.5000 0.0000
Cu1 0.5000 0.0000 0.5000
Tc1 0.0000 0.5000 0.5000


*two*
Material: Tl2CuTc
Method: DFT, GGA-PBE
State: relaxed

a b c (Å): 5.5642 5.5642 5.5642
angles (deg): 138.03 138.03 60.86
Each line ends with the local moment (μB).
Fractional positions:
Tc1 0.7500 0.2500 0.5000  1.18
Tl1 0.2500 0.7500 0.5000  -0.04
Tl2 0.0000 0.0000 0.0000  -0.02
Cu1 0.5000 0.5000 0.0000  0.02


Most stable structure - *one*; separation to the second - 42 meV per atom.


*one*
Material: Tl2CuTc
Method: DFT, GGA-PBE
State: relaxed

a b c (Å): 3.2187 3.2186 7.9205
angles (deg): 90.00 90.00 90.00
Each line ends with the local moment (μB).
Fractional positions:
Tc1 0.5000 0.5000 0.7055  1.36
Cu1 0.0000 0.0000 0.5446  0.12
Tl1 0.5000 0.5000 0.3016  0.01
Tl2 0.0000 0.0000 0.9484  0.02


*two*
Material: Tl2CuTc
Method: DFT, GGA-PBE
State: relaxed

a b c (Å): 4.8710 4.8710 4.8710
angles (deg): 60.00 60.00 60.00
Each line ends with the local moment (μB).
Fractional positions:
Tl1 0.2500 0.2500 0.2500  0.03
Tl2 0.0000 0.0000 0.0000  0.00
Tc1 0.7500 0.7500 0.7500  2.31
Cu1 0.5000 0.5000 0.5000  0.07


*three*
Material: Tl2CuTc
Method: DFT, GGA-PBE
State: relaxed

a b c (Å): 5.1546 5.1546 5.1546
angles (deg): 131.37 131.48 71.14
Each line ends with the local moment (μB).
Fractional positions:
Tl1 0.4999 0.4999 0.0000  -0.01
Tl2 0.0001 0.0001 0.0000  -0.01
Cu1 0.7500 0.2500 0.5000  0.02
Tc1 0.2500 0.7500 0.5000  0.84


Most stable structure - *one*; separation to the second - 148 meV per atom.


*one*
Material: Tl2CuTc
Method: DFT, GGA-PBE
State: relaxed

a b c (Å): 4.7256 4.7256 4.7256
angles (deg): 60.00 60.00 60.00
Fractional positions:
Tc1 0.5000 0.5000 0.5000
Tl1 0.7500 0.7500 0.7500
Tl2 0.2500 0.2500 0.2500
Cu1 0.0000 0.0000 0.0000


*two*
Material: Tl2CuTc
Method: DFT, GGA-PBE
State: relaxed

a b c (Å): 4.1610 3.6699 5.5261
angles (deg): 70.53 90.00 90.00
Fractional positions:
Tc1 0.5000 0.5509 0.7728
Tl1 0.5000 0.2753 0.3268
Tl2 0.0000 0.9807 0.9125
Cu1 0.0000 0.6931 0.4878


Most stable structure - *two*; separation to the second - 176 meV per atom.


*one*
Material: Tl2CuTc
Method: DFT, GGA-PBE
State: relaxed

a b c (Å): 3.1471 3.1471 9.1395
angles (deg): 90.00 90.00 119.50
Each line ends with the local moment (μB).
Fractional positions:
Tl1 0.0000 0.0000 0.0052  -0.01
Tl2 0.0000 0.0000 0.4948  -0.01
Cu1 0.5000 0.5000 0.2500  -0.01
Tc1 0.5000 0.5000 0.7500  0.95


*two*
Material: Tl2CuTc
Method: DFT, GGA-PBE
State: relaxed

a b c (Å): 9.1319 9.1319 9.1319
angles (deg): 19.91 19.91 19.91
Each line ends with the local moment (μB).
Fractional positions:
Tl1 0.0016 0.0016 0.0016  -0.01
Tl2 0.4984 0.4984 0.4984  -0.01
Cu1 0.7500 0.7500 0.7500  0.00
Tc1 0.2500 0.2500 0.2500  0.81


Most stable structure - *two*; separation to the second - 19 meV per atom.


*one*
Material: Tl2CuTc
Method: DFT, GGA-PBE
State: relaxed

a b c (Å): 4.2765 4.2765 9.9020
angles (deg): 77.53 77.53 90.00
Each line ends with the local moment (μB).
Fractional positions:
Tl1 0.8750 0.8752 0.7500  -0.03
Tl2 0.3750 0.3748 0.7500  -0.03
Tl3 0.1248 0.6250 0.2500  -0.03
Tl4 0.6252 0.1250 0.2500  -0.03
Tc1 0.0000 0.0000 0.0000  1.32
Tc2 0.7500 0.2500 0.5000  1.34
Cu1 0.2500 0.7500 0.5000  0.00
Cu2 0.5000 0.5000 0.0000  0.00


*two*
Material: Tl2CuTc
Method: DFT, GGA-PBE
State: relaxed

a b c (Å): 3.4516 3.4704 7.1351
angles (deg): 60.91 90.00 90.00
Each line ends with the local moment (μB).
Fractional positions:
Cu1 0.5000 0.2500 0.2500  0.01
Tl1 0.0000 0.0000 0.0000  0.00
Tl2 0.0000 0.5000 0.5000  0.00
Tc1 0.5000 0.7500 0.7500  0.25


*three*
Material: Tl2CuTc
Method: DFT, GGA-PBE
State: relaxed

a b c (Å): 4.8045 4.8045 5.7548
angles (deg): 79.40 79.40 36.26
Fractional positions:
Tc1 0.2500 0.2500 0.2500
Cu1 0.7500 0.7500 0.7500
Tl1 0.4973 0.4973 0.5015
Tl2 0.0027 0.0027 0.9985


*four*
Material: Tl2CuTc
Method: DFT, GGA-PBE
State: relaxed

a b c (Å): 5.6212 5.6212 4.8554
angles (deg): 71.91 71.91 32.24
Each line ends with the local moment (μB).
Fractional positions:
Cu1 0.5337 0.5337 0.5280  0.03
Tc1 0.2287 0.2287 0.2060  1.00
Tl1 0.7589 0.7589 0.6942  -0.02
Tl2 0.9787 0.9787 0.0718  -0.01


Most stable structure - *four*; separation to the second - 82 meV per atom.


*one*
Material: TlCuTc
Method: DFT, GGA-PBE
State: relaxed

a b c (Å): 4.3062 4.3062 4.3062
angles (deg): 60.00 60.00 60.00
Each line ends with the local moment (μB).
Fractional positions:
Tl1 0.5000 0.5000 0.5000  -0.06
Cu1 0.7500 0.7500 0.7500  0.14
Tc1 0.0000 0.0000 0.0000  2.04


*two*
Material: TlCuTc
Method: DFT, GGA-PBE
State: relaxed

a b c (Å): 5.7611 5.7619 3.0855
angles (deg): 74.45 74.48 31.06
Each line ends with the local moment (μB).
Fractional positions:
Tc1 0.6490 0.6490 0.3510  1.20
Cu1 0.0133 0.0133 0.9867  0.10
Tl1 0.3377 0.3377 0.6623  0.01


Most stable structure - *two*; separation to the second - 186 meV per atom.


*one*
Material: Tm8Cu2Tc
Method: DFT, GGA-PBE
State: relaxed

a b c (Å): 5.6159 7.6825 7.6825
angles (deg): 116.08 100.64 100.64
Fractional positions:
Tm1 0.9912 0.2106 0.7903
Tm2 0.9912 0.7903 0.2106
Tm3 0.3804 0.6741 0.9170
Tm4 0.8085 0.6419 0.6419
Tm5 0.5875 0.0877 0.3299
Tm6 0.3804 0.9170 0.6741
Tm7 0.5875 0.3299 0.0877
Tm8 0.1800 0.3665 0.3665
Cu1 0.4965 0.3096 0.7020
Cu2 0.4965 0.7020 0.3096
Tc1 0.1001 0.0043 0.0043


*two*
Material: Tm8Cu2Tc
Method: DFT, GGA-PBE
State: relaxed

a b c (Å): 5.0277 6.6609 8.8317
angles (deg): 107.38 106.54 90.00
Fractional positions:
Tc1 0.5000 0.0000 0.0000
Cu1 0.8166 0.2907 0.6332
Cu2 0.1834 0.7093 0.3668
Tm1 0.4077 0.5582 0.8154
Tm2 0.8036 0.6871 0.6072
Tm3 0.0318 0.7965 0.0636
Tm4 0.3321 0.0274 0.6642
Tm5 0.1964 0.3129 0.3928
Tm6 0.6679 0.9726 0.3358
Tm7 0.5923 0.4418 0.1846
Tm8 0.9682 0.2035 0.9364


Most stable structure - *two*; separation to the second - 106 meV per atom.


*one*
Material: Tm4CuTc
Method: DFT, GGA-PBE
State: relaxed

a b c (Å): 7.6330 7.6330 7.6330
angles (deg): 105.54 105.54 117.66
Fractional positions:
Cu1 0.2498 0.2498 0.0000
Cu2 0.9998 0.4998 0.5000
Tc1 0.4978 0.9978 0.5000
Tc2 0.7478 0.7478 0.0000
Tm1 0.3062 0.5092 0.7969
Tm2 0.7420 0.4496 0.7076
Tm3 0.7123 0.5092 0.2031
Tm4 0.7420 0.0344 0.2924
Tm5 0.7844 0.9920 0.7924
Tm6 0.2592 0.5562 0.2969
Tm7 0.2592 0.9623 0.7031
Tm8 0.1996 0.9920 0.2076


*two*
Material: Tm4CuTc
Method: DFT, GGA-PBE
State: relaxed

a b c (Å): 3.4243 3.4243 12.2041
angles (deg): 90.00 90.00 90.00
Fractional positions:
Tm1 0.9999 0.9999 0.6316
Tm2 0.0001 0.0001 0.3684
Tm3 0.5001 0.5001 0.1383
Tm4 0.4999 0.4999 0.8617
Cu1 0.0000 0.0000 0.0000
Tc1 0.5000 0.5000 0.5000


Most stable structure - *two*; separation to the second - 195 meV per atom.


*one*
Material: UCuTc
Method: DFT, GGA-PBE
State: relaxed

a b c (Å): 2.9682 2.9682 13.8471
angles (deg): 83.85 83.85 60.00
Fractional positions:
Tc1 0.7505 0.7505 0.7484
Tc2 0.2495 0.2495 0.2516
Cu1 0.3114 0.3114 0.0658
Cu2 0.6886 0.6886 0.9342
U1 0.8658 0.8658 0.4027
U2 0.1342 0.1342 0.5973


*two*
Material: UCuTc
Method: DFT, GGA-PBE
State: relaxed

a b c (Å): 3.1351 3.1351 5.7041
angles (deg): 105.95 105.95 90.00
Each line ends with the local moment (μB).
Fractional positions:
U1 0.3187 0.3187 0.6374  0.68
Cu1 0.0194 0.0194 0.0388  -0.01
Tc1 0.6619 0.6619 0.3237  -0.16


Most stable structure - *two*; separation to the second - 274 meV per atom.